## P
PrZr2Ta: relaxed, PBE-GGA.

Calculated values
magnetization = 0.000 μB/atom

Unit cell a=3.1912 b=3.1912 c=11.3514 alpha=81.92 beta=81.92 gamma=60.00
Atoms (fractional coordinates):
Pr (0.0000, 0.0000, 0.0000)
Zr (0.0958, 0.0958, 0.7126)
Zr (0.9042, 0.9042, 0.2874)
Ta (0.5000, 0.5000, 0.5000)

## Q
PrZr2Ta: relaxed, PBE-GGA.

Calculated values
magnetization = 0.000 μB/atom

Unit cell a=3.5165 b=3.5165 c=7.9459 alpha=90.00 beta=90.00 gamma=90.00
Atoms (fractional coordinates):
Pr (0.5000, 0.5000, 0.5000)
Zr (0.0000, 0.0000, 0.7986)
Zr (0.0000, 0.0000, 0.2014)
Ta (0.5000, 0.5000, 0.0000)

Which of them is the least stable? Correct choice: P.

## P
Tb2Pr7: relaxed, PBE-GGA.

Calculated values
magnetization = 0.000 μB/atom

Unit cell a=3.6077 b=10.0897 c=10.0897 alpha=120.00 beta=90.00 gamma=90.00
Atoms (fractional coordinates):
Tb (0.0000, 0.6667, 0.3333)
Tb (0.0000, 0.3333, 0.6667)
Pr (0.5000, 0.6398, 0.0000)
Pr (0.5000, 0.0000, 0.6398)
Pr (0.5000, 0.3602, 0.3602)
Pr (0.0000, 0.3100, 0.0000)
Pr (0.0000, 0.0000, 0.3100)
Pr (0.0000, 0.6900, 0.6900)
Pr (0.5000, 0.0000, 0.0000)

## Q
Tb2Pr7: relaxed, PBE-GGA.

Calculated values
magnetization = 0.000 μB/atom

Unit cell a=6.3784 b=6.3784 c=9.0052 alpha=90.00 beta=90.00 gamma=120.00
Atoms (fractional coordinates):
Tb (0.3333, 0.6667, 0.0000)
Tb (0.6667, 0.3333, 0.0000)
Pr (0.0000, 0.0000, 0.0000)
Pr (0.6661, 0.0000, 0.3301)
Pr (0.0000, 0.6661, 0.3301)
Pr (0.3339, 0.3339, 0.3301)
Pr (0.0000, 0.3339, 0.6699)
Pr (0.3339, 0.0000, 0.6699)
Pr (0.6661, 0.6661, 0.6699)

Which of them is the least stable? Correct choice: P.